# CrBrO3 (PBE+U, relaxed)
data_CrBrO3
_symmetry_space_group_name_H-M 'P m -3 m'
_symmetry_Int_Tables_number 221
_symmetry_space_group_name_Hall '-P 4 2 3'
_cell_length_a 3.948
_cell_length_b 3.948
_cell_length_c 3.948
_cell_angle_alpha 90.00
_cell_angle_beta 90.00
_cell_angle_gamma 90.00
loop_
_atom_site_label
_atom_site_type_symbol
_atom_site_fract_x
_atom_site_fract_y
_atom_site_fract_z
Cr1 Cr 0.000 0.000 0.000
Br1 Br 0.500 0.500 0.500
O1 O 0.000 0.500 0.500
# - E_tot: -22.139 eV per formula unit
# - DOS(E_F): 6.19 states/eV/f.u.